# MnAsP2 | Alexandria | PBE | relaxed
# theoretical density: 5.20 Mg/m³
# magnetization: 3.48 μB per cell
# energy of formation: 1.77 eV per formula unit
data_MnAsP2
_symmetry_space_group_name_H-M 'P m m m'
_symmetry_Int_Tables_number 47
_symmetry_space_group_name_Hall '-P 2 2'
_cell_length_a 3.1130
_cell_length_b 4.4275
_cell_length_c 4.4432
_cell_angle_alpha 90.00
_cell_angle_beta 90.00
_cell_angle_gamma 90.00
loop_
_atom_site_label
_atom_site_type_symbol
_atom_site_fract_x
_atom_site_fract_y
_atom_site_fract_z
Mn1 Mn 0.0000 0.0000 0.0000
As1 As 0.5000 0.0000 0.5000
P1 P 0.0000 0.5000 0.5000
P2 P 0.5000 0.5000 0.0000

=====

# ZrGeTe2N | Alexandria | PBE | relaxed
# energy relative to the lowest polymorph listed for this composition: 33.64 kJ per mole of atoms
# theoretical density: 6.50 Mg/m³
# magnetization: 0.00 μB per cell
# formation energy from raw total energies: 0.47 eV/atom
data_ZrGeTe2N
_symmetry_space_group_name_H-M 'P 4/m m m'
_symmetry_Int_Tables_number 123
_symmetry_space_group_name_Hall '-P 4 2'
_cell_length_a 5.5483
_cell_length_b 5.5483
_cell_length_c 3.5961
_cell_angle_alpha 90.00
_cell_angle_beta 90.00
_cell_angle_gamma 90.00
loop_
_atom_site_label
_atom_site_type_symbol
_atom_site_fract_x
_atom_site_fract_y
_atom_site_fract_z
Zr1 Zr 0.0000 0.0000 0.0000
Ge1 Ge 0.5000 0.5000 0.5000
Te1 Te 0.0000 0.5000 0.5000
N1 N 0.5000 0.5000 0.0000

=====

# Ti2Te2I | Alexandria | PBE | relaxed
# theoretical density: 6.59 Mg/m³
# magnetization: 0.00 μB per cell
# formation energy from raw total energies: -0.43 eV/atom
data_Ti2Te2I
_symmetry_space_group_name_H-M 'P 4/m b m'
_symmetry_Int_Tables_number 127
_symmetry_space_group_name_Hall '-P 4 2ab'
_cell_length_a 8.0988
_cell_length_b 8.0988
_cell_length_c 3.6729
_cell_angle_alpha 90.00
_cell_angle_beta 90.00
_cell_angle_gamma 90.00
loop_
_atom_site_label
_atom_site_type_symbol
_atom_site_fract_x
_atom_site_fract_y
_atom_site_fract_z
Ti1 Ti 0.1223 0.3777 0.0000
Te1 Te 0.1458 0.6458 0.5000
I1 I 0.0000 0.0000 0.0000

=====

# Pr8Mg2Pd | Alexandria | PBE | relaxed
# theoretical density: 6.05 Mg/m³
# magnetization: 0.00 μB per cell
# energy of formation: -1.12 eV per formula unit
data_Pr8Mg2Pd
_symmetry_space_group_name_H-M 'C 1 2/m 1'
_symmetry_Int_Tables_number 12
_symmetry_space_group_name_Hall '-C 2y'
_cell_length_a 18.4514
_cell_length_b 5.5543
_cell_length_c 7.1543
_cell_angle_alpha 90.00
_cell_angle_beta 106.35
_cell_angle_gamma 90.00
loop_
_atom_site_label
_atom_site_type_symbol
_atom_site_fract_x
_atom_site_fract_y
_atom_site_fract_z
Pr1 Pr 0.0179 0.0000 0.2752
Pr2 Pr 0.0942 0.5000 0.9318
Pr3 Pr 0.1514 0.5000 0.4435
Pr4 Pr 0.1984 0.0000 0.7711
Mg1 Mg 0.1878 0.0000 0.2146
Pd1 Pd 0.0000 0.5000 0.5000

=====

# Na2SrCa | Alexandria | PBE | relaxed
# energy relative to the lowest polymorph listed for this composition: 0.61 kJ per mole of atoms
# theoretical density: 1.72 Mg/m³
# magnetization: 0.00 μB per cell
# energy of formation: 0.22 eV per formula unit
data_Na2SrCa
_symmetry_space_group_name_H-M 'C m c m'
_symmetry_Int_Tables_number 63
_symmetry_space_group_name_Hall '-C 2c 2'
_cell_length_a 8.8297
_cell_length_b 12.3740
_cell_length_c 6.1563
_cell_angle_alpha 90.00
_cell_angle_beta 90.00
_cell_angle_gamma 90.00
loop_
_atom_site_label
_atom_site_type_symbol
_atom_site_fract_x
_atom_site_fract_y
_atom_site_fract_z
Na1 Na 0.2474 0.1226 0.2500
Sr1 Sr 0.0000 0.3695 0.2500
Ca1 Ca 0.0000 0.1218 0.7500

=====

# PtN | Alexandria | PBE | relaxed
# theoretical density: 9.73 Mg/m³
# magnetization: 0.04 μB per cell
# formation energy from raw total energies: 0.82 eV/atom
data_PtN
_symmetry_space_group_name_H-M 'A m m 2'
_symmetry_Int_Tables_number 38
_symmetry_space_group_name_Hall 'A 2 -2'
_cell_length_a 3.0331
_cell_length_b 8.1727
_cell_length_c 8.6410
_cell_angle_alpha 90.00
_cell_angle_beta 90.00
_cell_angle_gamma 90.00
loop_
_atom_site_label
_atom_site_type_symbol
_atom_site_fract_x
_atom_site_fract_y
_atom_site_fract_z
Pt1 Pt 0.0000 0.0000 0.0000
Pt2 Pt 0.5000 0.1648 0.6726
N1 N 0.0000 0.0000 0.7643
N2 N 0.0000 0.2084 0.0977